[1]
Computed, not measured: a relaxed SrLiGe2Pt crystal at the PBE level of DFT.

symmetry	I-4m2 (119)
ΔE_f	-63.6	kJ/mol of atoms

Cell lengths 4.3775, 4.3775, 6.0833 Å; angles 111.09, 111.09, 90.00 degrees
Fractional positions:
Sr 0.0000 0.0000 0.0000
Li 0.7500 0.2500 0.5000
Ge 0.6229 0.6229 0.2458
Ge 0.3771 0.3771 0.7542
Pt 0.2500 0.7500 0.5000


[2]
Computed, not measured: a relaxed CeNdDy2 crystal at the PBE level of DFT.

symmetry	R3m (160)
ΔE_f	5.1	kJ/mol of atoms
distance to the lowest polymorph of the same formula	0	meV/atom

Cell lengths 3.5652, 3.5652, 11.7242 Å; angles 81.25, 81.25, 60.00 degrees
Last column: magnetic moment on the atom in μB.
Fractional positions:
Ce 0.6665 0.6665 0.0006  0.45
Nd 0.5005 0.5005 0.4985  0.00
Dy 0.0806 0.0806 0.7584  -0.01
Dy 0.2525 0.2525 0.2425  0.00


[3]
Computed, not measured: a relaxed AlSnS3 crystal at the PBE level of DFT.

symmetry	Pm-3m (221)
raw formation energy	-1.6	eV per formula unit

Cell lengths 4.6676, 4.6676, 4.6676 Å; angles 90.00, 90.00, 90.00 degrees
Fractional positions:
S 0.0000 0.5000 0.0000
S 0.0000 0.0000 0.5000
S 0.5000 0.0000 0.0000
Sn 0.5000 0.5000 0.5000
Al 0.0000 0.0000 0.0000


[4]
Computed, not measured: a relaxed NbNiSb2 crystal at the PBE level of DFT.

symmetry	I-42d (122)
raw formation energy	1.1	eV per formula unit

Cell lengths 7.2023, 7.2023, 5.9803 Å; angles 52.97, 52.97, 90.00 degrees
Fractional positions:
Sb 0.5800 0.1250 0.2500
Sb 0.1700 0.6250 0.2500
Sb 0.3750 0.4200 0.7500
Sb 0.8750 0.8300 0.7500
Nb 0.0000 0.0000 0.0000
Nb 0.7500 0.2500 0.5000
Ni 0.5000 0.5000 0.0000
Ni 0.2500 0.7500 0.5000


Magnetization for every record listed, in sequence, given in μB per atom: 0.000, 0.130, 0.000, 0.000.